# MnAuN2O

A relaxed MnAuN2O crystal (PBE+U, Alexandria via LeMat-Bulk).

Calculated values
Electronic total energy   -5.0839 eV per atom
Space group   P4/mmm, No. 123

Lattice parameters (Å, degrees): 4.003 4.003 4.350 90.00 90.00 90.00
Last column: magnetic moment on the atom in μB.
Atoms (fractional coordinates):
N 0.000 0.500 0.000  -0.73
N 0.500 0.000 0.000  -0.73
Au 0.000 0.000 0.000  -0.21
O 0.000 0.000 0.500  -0.10
Mn 0.500 0.500 0.500  4.71